Record 1
# Th3Bi5Se12, optimized geometry, DFT PBE
data_Th3Bi5Se12
_chemical_formula_sum 'Th24 Bi40 Se96'
_space_group_name_H-M_alt 'I a -3 d'
_space_group_IT_number 230
_space_group_name_Hall '-I 4bd 2c 3'
_cell_length_a 17.259
_cell_length_b 17.259
_cell_length_c 17.259
_cell_angle_alpha 90.00
_cell_angle_beta 90.00
_cell_angle_gamma 90.00
loop_
_atom_site_label
_atom_site_type_symbol
_atom_site_fract_x
_atom_site_fract_y
_atom_site_fract_z
Th1 Th 0.000 0.250 0.125
Bi1 Bi 0.000 0.000 0.000
Bi2 Bi 0.000 0.250 0.375
Se1 Se 0.012 0.071 0.655
# * V: 32.1 Å³ per atom
# * raw formation energy: -0.697 eV/atom

Record 2
# ThTl3Bi2Se6, optimized geometry, DFT PBE
data_ThTl3Bi2Se6
_chemical_formula_sum 'Th2 Tl6 Bi4 Se12'
_space_group_name_H-M_alt 'C 1 2/m 1'
_space_group_IT_number 12
_space_group_name_Hall '-C 2y'
_cell_length_a 7.340
_cell_length_b 12.807
_cell_length_c 8.391
_cell_angle_alpha 90.00
_cell_angle_beta 107.21
_cell_angle_gamma 90.00
loop_
_atom_site_label
_atom_site_type_symbol
_atom_site_fract_x
_atom_site_fract_y
_atom_site_fract_z
Th1 Th 0.000 0.000 0.000
Tl1 Tl 0.000 0.165 0.500
Tl2 Tl 0.000 0.500 0.500
Bi1 Bi 0.000 0.332 0.000
Se1 Se 0.234 0.164 0.211
Se2 Se 0.242 0.500 0.210
# * V: 31.4 Å³ per atom
# * raw formation energy: -0.714 eV/atom

Record 3
# ThTl2BiSe4, optimized geometry, DFT PBE
data_ThTl2BiSe4
_chemical_formula_sum 'Th1 Tl2 Bi1 Se4'
_space_group_name_H-M_alt 'P 1 2/m 1'
_space_group_IT_number 10
_space_group_name_Hall '-P 2y'
_cell_length_a 7.378
_cell_length_b 4.314
_cell_length_c 8.400
_cell_angle_alpha 90.00
_cell_angle_beta 107.89
_cell_angle_gamma 90.00
loop_
_atom_site_label
_atom_site_type_symbol
_atom_site_fract_x
_atom_site_fract_y
_atom_site_fract_z
Th1 Th 0.000 0.000 0.000
Tl1 Tl 0.000 0.500 0.500
Tl2 Tl 0.500 0.000 0.500
Bi1 Bi 0.500 0.500 0.000
Se1 Se 0.226 0.500 0.209
Se2 Se 0.256 0.000 0.793
# * V: 31.8 Å³ per atom
# * raw formation energy: -0.823 eV/atom

Record 4
# Ti2BiSe, optimized geometry, DFT PBE
data_Ti2BiSe
_chemical_formula_sum 'Ti6 Bi3 Se3'
_space_group_name_H-M_alt 'R 3 m'
_space_group_IT_number 160
_space_group_name_Hall 'R 3 -2"'
_cell_length_a 3.7470
_cell_length_b 3.7470
_cell_length_c 20.1464
_cell_angle_alpha 90.00
_cell_angle_beta 90.00
_cell_angle_gamma 120.00
loop_
_atom_site_label
_atom_site_type_symbol
_atom_site_fract_x
_atom_site_fract_y
_atom_site_fract_z
Ti1 Ti 0.0000 0.0000 0.0000
Ti2 Ti 0.0000 0.0000 0.1999
Bi1 Bi 0.0000 0.0000 0.7680
Se1 Se 0.0000 0.0000 0.5990
# * excess energy over the best structure of this formula in the dataset: 0.36 eV/f.u.
# * V: 20.4 Å³ per atom
# * raw formation energy: -0.514 eV/atom

Record 5
# Ti2BiSe, optimized geometry, DFT PBE
data_Ti2BiSe
_chemical_formula_sum 'Ti8 Bi4 Se4'
_space_group_name_H-M_alt 'P 1 21/c 1'
_space_group_IT_number 14
_space_group_name_Hall '-P 2ybc'
_cell_length_a 7.612
_cell_length_b 6.729
_cell_length_c 6.417
_cell_angle_alpha 90.00
_cell_angle_beta 90.05
_cell_angle_gamma 90.00
loop_
_atom_site_label
_atom_site_type_symbol
_atom_site_fract_x
_atom_site_fract_y
_atom_site_fract_z
Ti1 Ti 0.094 0.188 0.000
Ti2 Ti 0.323 0.703 0.495
Bi1 Bi 0.383 0.100 0.285
Se1 Se 0.117 0.573 0.210
# * excess energy over the best structure of this formula in the dataset: 0.00 eV/f.u.
# * V: 20.5 Å³ per atom
# * raw formation energy: -0.604 eV/atom

Record 6
# TiBiSe3, optimized geometry, DFT PBE
data_TiBiSe3
_chemical_formula_sum 'Ti2 Bi2 Se6'
_space_group_name_H-M_alt 'P -1'
_space_group_IT_number 2
_space_group_name_Hall '-P 1'
_cell_length_a 6.114
_cell_length_b 7.257
_cell_length_c 7.395
_cell_angle_alpha 107.74
_cell_angle_beta 114.09
_cell_angle_gamma 99.85
loop_
_atom_site_label
_atom_site_type_symbol
_atom_site_fract_x
_atom_site_fract_y
_atom_site_fract_z
Ti1 Ti 0.000 0.000 0.000
Ti2 Ti 0.500 0.000 0.000
Bi1 Bi 0.128 0.511 0.825
Se1 Se 0.049 0.826 0.663
Se2 Se 0.328 0.860 0.219
Se3 Se 0.382 0.341 0.147
# * excess energy over the best structure of this formula in the dataset: 0.13 eV/f.u.
# * V: 26.8 Å³ per atom
# * raw formation energy: -0.670 eV/atom